The following is a PBE calculation of a relaxed structure of HfGaPbSe3, from OQMD via LeMat-Bulk.

* E_tot: -121.6 eV per cell
* mass density: 7.96 g cm⁻³

Unit cell a=3.7798 b=15.5457 c=9.8374 alpha=90.00 beta=90.00 gamma=90.00
Last column: nearest neighbours and their distance in Å.
Space group Cmcm (No. 63)
Unique sites:
Hf (0.0000, 0.0000, 0.0000) (multiplicity 4)  6 Se 2.78-2.81
Ga (0.0000, 0.4625, 0.2500) (multiplicity 4)  4 Se 2.59-2.71
Pb (0.0000, 0.2613, 0.7500) (multiplicity 4)  4 Se 3.01-3.24
Se (0.0000, 0.0878, 0.2500) (multiplicity 4)  2 Ga 2.71, 2 Hf 2.81, 2 Pb 3.01
Se (0.0000, 0.3707, 0.0305) (multiplicity 8)  1 Ga 2.59, 2 Hf 2.78